# KAgPt

A geometry-optimized KAgPt structure (PBE-GGA, the Alexandria database).

Cell: 5.4586 4.8558 6.8446 Å, 110.78 113.72 90.00°
Fractional coordinates of all 6 atoms:
K (0.4430, 0.8643, 0.6722)
K (0.9428, 0.3643, 0.6724)
Ag (0.1945, 0.3551, 0.1723)
Ag (0.6945, 0.3727, 0.1723)
Pt (0.4441, 0.8636, 0.1719)
Pt (0.9444, 0.8642, 0.1726)

Values from the calculation:
Uncorrected energy in eV per cell: -20.42
Energy above the most stable polymorph in this dataset in meV per atom: 41
Density of states at the Fermi level in states/eV/f.u.: 0.7
Energy of formation in meV per atom: -73

# KAgPt

A geometry-optimized KAgPt structure (PBE-GGA, the Alexandria database).

Cell: 5.0930 5.0930 2.9090 Å, 90.00 90.00 120.00°
Fractional coordinates of all 3 atoms:
K (0.3333, 0.6667, 0.3334)
Ag (0.0000, 0.0000, 0.8303)
Pt (0.6667, 0.3333, 0.8362)

Values from the calculation:
Uncorrected energy in eV per cell: -9.38
Energy above the most stable polymorph in this dataset in meV per atom: 318
Density of states at the Fermi level in states/eV/f.u.: 1.2
Energy of formation in meV per atom: 204

# KAg2Pt

A geometry-optimized KAg2Pt structure (PBE-GGA, the Alexandria database).

Cell: 4.9059 4.9059 4.9059 Å, 60.00 60.00 60.00°
Fractional coordinates of all 4 atoms:
K (0.0000, 0.0000, 0.0000)
Ag (0.7500, 0.7500, 0.7500)
Ag (0.2500, 0.2500, 0.2500)
Pt (0.5000, 0.5000, 0.5000)

Values from the calculation:
Uncorrected energy in eV per cell: -11.76
Energy above the most stable polymorph in this dataset in meV per atom: 135
Density of states at the Fermi level in states/eV/f.u.: 1.4
Energy of formation in meV per atom: 270

# KAg2Pt

A geometry-optimized KAg2Pt structure (PBE-GGA, the Alexandria database).

Cell: 5.1363 5.1363 5.1363 Å, 127.33 127.33 77.71°
Fractional coordinates of all 4 atoms:
Pt (0.7500, 0.2500, 0.5000)
K (0.2500, 0.7500, 0.5000)
Ag (0.0000, 0.0000, 0.0000)
Ag (0.5000, 0.5000, 0.0000)

Values from the calculation:
Uncorrected energy in eV per cell: -11.77
Energy above the most stable polymorph in this dataset in meV per atom: 133
Density of states at the Fermi level in states/eV/f.u.: 1.1
Energy of formation in meV per atom: 268

# KAg2Pt

A geometry-optimized KAg2Pt structure (PBE-GGA, the Alexandria database).

Cell: 4.9221 4.9221 4.9221 Å, 60.00 60.00 60.00°
Fractional coordinates of all 4 atoms:
Pt (0.7500, 0.7500, 0.7500)
Ag (0.2500, 0.2500, 0.2500)
Ag (0.0000, 0.0000, 0.0000)
K (0.5000, 0.5000, 0.5000)

Values from the calculation:
Uncorrected energy in eV per cell: -11.44
Energy above the most stable polymorph in this dataset in meV per atom: 216
Density of states at the Fermi level in states/eV/f.u.: 1.4
Energy of formation in meV per atom: 350

# KAgPt

A geometry-optimized KAgPt structure (PBE-GGA, the Alexandria database).

Cell: 6.2511 6.2511 6.2511 Å, 145.54 145.54 49.53°
Fractional coordinates of all 3 atoms:
Pt (0.6120, 0.6120, 0.0000)
K (0.3314, 0.3314, 0.0000)
Ag (0.0566, 0.0566, 0.0000)

Values from the calculation:
Uncorrected energy in eV per cell: -9.58
Energy above the most stable polymorph in this dataset in meV per atom: 252
Density of states at the Fermi level in states/eV/f.u.: 1.2
Energy of formation in meV per atom: 138

# KAg8Pt2

A geometry-optimized KAg8Pt2 structure (PBE-GGA, the Alexandria database).

Cell: 5.7132 5.7132 9.2649 Å, 90.00 90.00 90.00°
Fractional coordinates of all 11 atoms:
Pt (0.5000, 0.0000, 0.0000)
Pt (0.0000, 0.5000, 0.0000)
K (0.5000, 0.5000, 0.5000)
Ag (0.7508, 0.7508, 0.1958)
Ag (0.7508, 0.2492, 0.8042)
Ag (0.2492, 0.7508, 0.1958)
Ag (0.2492, 0.2492, 0.8042)
Ag (0.7508, 0.7508, 0.8042)
Ag (0.2492, 0.7508, 0.8042)
Ag (0.2492, 0.2492, 0.1958)
Ag (0.7508, 0.2492, 0.1958)

Values from the calculation:
Uncorrected energy in eV per cell: -32.30
Density of states at the Fermi level in states/eV/f.u.: 5.3
Energy of formation in meV per atom: 336

# KAgPt

A geometry-optimized KAgPt structure (PBE-GGA, the Alexandria database).

Cell: 4.8361 4.8361 4.8361 Å, 60.00 60.00 60.00°
Fractional coordinates of all 3 atoms:
Pt (0.7500, 0.7500, 0.7500)
K (0.5000, 0.5000, 0.5000)
Ag (0.0000, 0.0000, 0.0000)

Values from the calculation:
Uncorrected energy in eV per cell: -8.83
Energy above the most stable polymorph in this dataset in meV per atom: 501
Energy of formation in meV per atom: 387